No. 1
Entry from Alexandria: a geometry-optimized K3U2PaSe6 structure (PBE-GGA).

Electronic total energy = -5.96 eV per atom
Space-group type = C2/m, No. 12
M_tot = 8.02 μB per formula unit
Formation energy (no corrections) = -1.27 eV/atom
N(E_F) = 0.81 states/eV/atom

Structure (CIF):
```
data_K3U2PaSe6
_space_group_name_H-M_alt 'P 1'
_space_group_IT_number 1
_cell_length_a 7.222
_cell_length_b 7.222
_cell_length_c 8.213
_cell_angle_alpha 98.43
_cell_angle_beta 98.43
_cell_angle_gamma 120.00
loop_
_space_group_symop_operation_xyz
'x,y,z'
loop_
_atom_site_label
_atom_site_fract_x
_atom_site_fract_y
_atom_site_fract_z
_atom_site_occupancy
K1 0.167 0.833 0.500 1
K2 0.833 0.167 0.500 1
K3 0.500 0.500 0.500 1
U1 0.333 0.667 0.000 1
U2 0.667 0.333 0.000 1
Pa1 0.000 0.000 0.000 1
Se1 0.929 0.598 0.789 1
Se2 0.739 0.739 0.211 1
Se3 0.071 0.402 0.211 1
Se4 0.598 0.929 0.789 1
Se5 0.261 0.261 0.789 1
Se6 0.402 0.071 0.211 1
```

***

No. 2
Entry from Alexandria: a geometry-optimized TlP2PbS structure (PBE-GGA).

Electronic total energy = -3.35 eV per atom
Space-group type = P4/mmm, No. 123
M_tot = 2.53 μB per formula unit
Formation energy (no corrections) = 0.85 eV/atom
N(E_F) = 0.78 states/eV/atom
Energy above the most stable polymorph in this dataset = 0 meV per atom

Structure (CIF):
```
data_TlP2PbS
_space_group_name_H-M_alt 'P 1'
_space_group_IT_number 1
_cell_length_a 5.460
_cell_length_b 5.460
_cell_length_c 5.486
_cell_angle_alpha 90.00
_cell_angle_beta 90.00
_cell_angle_gamma 90.00
loop_
_space_group_symop_operation_xyz
'x,y,z'
loop_
_atom_site_label
_atom_site_fract_x
_atom_site_fract_y
_atom_site_fract_z
_atom_site_occupancy
Pb1 0.000 0.000 0.000 1
P1 0.000 0.500 0.000 1
P2 0.500 0.000 0.000 1
Tl1 0.500 0.500 0.500 1
S1 0.000 0.000 0.500 1
```

***

No. 3
Entry from Alexandria: a geometry-optimized AsP2Os structure (PBE-GGA).

Energy relative to the elements = 0.643 eV per atom
Electronic total energy = -6.03 eV per atom
Space-group type = Cmmm, No. 65
M_tot = 0.00 μB per formula unit
N(E_F) = 0.44 states/eV/atom

Structure (CIF):
```
data_AsP2Os
_space_group_name_H-M_alt 'P 1'
_space_group_IT_number 1
_cell_length_a 4.434
_cell_length_b 4.434
_cell_length_c 3.015
_cell_angle_alpha 90.00
_cell_angle_beta 90.00
_cell_angle_gamma 99.47
loop_
_space_group_symop_operation_xyz
'x,y,z'
loop_
_atom_site_label
_atom_site_fract_x
_atom_site_fract_y
_atom_site_fract_z
_atom_site_occupancy
As1 0.500 0.000 0.500 1
Os1 0.000 0.500 0.500 1
P1 0.000 0.000 0.000 1
P2 0.500 0.500 0.000 1
```

***

No. 4
Entry from Alexandria: a geometry-optimized Te3PdRh structure (PBE-GGA).

Electronic total energy = -4.67 eV per atom
Space-group type = P2_1/m, No. 11
M_tot = 0.00 μB per formula unit
Formation energy (no corrections) = -0.27 eV/atom
N(E_F) = 0.50 states/eV/atom
Energy above the most stable polymorph in this dataset = 116 meV per atom

Structure (CIF):
```
data_Te3PdRh
_space_group_name_H-M_alt 'P 1'
_space_group_IT_number 1
_cell_length_a 3.928
_cell_length_b 6.908
_cell_length_c 9.101
_cell_angle_alpha 90.00
_cell_angle_beta 90.00
_cell_angle_gamma 106.23
loop_
_space_group_symop_operation_xyz
'x,y,z'
loop_
_atom_site_label
_atom_site_fract_x
_atom_site_fract_y
_atom_site_fract_z
_atom_site_occupancy
Te1 0.877 0.749 0.589 1
Te2 0.123 0.251 0.411 1
Te3 0.123 0.251 0.089 1
Te4 0.877 0.749 0.911 1
Te5 0.401 0.798 0.250 1
Te6 0.599 0.202 0.750 1
Pd1 0.771 0.534 0.250 1
Pd2 0.229 0.466 0.750 1
Rh1 0.500 0.000 0.000 1
Rh2 0.500 0.000 0.500 1
```

***

No. 5
Entry from Alexandria: a geometry-optimized Tm6ThSc3 structure (PBE-GGA).

Energy relative to the elements = 0.090 eV per atom
Electronic total energy = -5.23 eV per atom
Space-group type = P2_1/m, No. 11
M_tot = 0.00 μB per formula unit
N(E_F) = 1.55 states/eV/atom
Energy above the most stable polymorph in this dataset = 0 meV per atom

Structure (CIF):
```
data_Tm6ThSc3
_space_group_name_H-M_alt 'P 1'
_space_group_IT_number 1
_cell_length_a 3.399
_cell_length_b 12.583
_cell_length_c 13.721
_cell_angle_alpha 99.96
_cell_angle_beta 90.00
_cell_angle_gamma 90.00
loop_
_space_group_symop_operation_xyz
'x,y,z'
loop_
_atom_site_label
_atom_site_fract_x
_atom_site_fract_y
_atom_site_fract_z
_atom_site_occupancy
Tm1 0.750 0.500 0.688 1
Tm2 0.250 0.500 0.312 1
Tm3 0.750 0.807 0.075 1
Tm4 0.250 0.193 0.925 1
Tm5 0.750 0.349 0.119 1
Tm6 0.250 0.651 0.881 1
Tm7 0.750 0.725 0.298 1
Tm8 0.250 0.275 0.702 1
Tm9 0.750 0.128 0.486 1
Tm10 0.250 0.872 0.514 1
Tm11 0.750 0.776 0.713 1
Tm12 0.250 0.224 0.287 1
Th1 0.750 0.036 0.727 1
Th2 0.250 0.964 0.273 1
Sc1 0.750 0.425 0.905 1
Sc2 0.250 0.575 0.095 1
Sc3 0.750 0.623 0.501 1
Sc4 0.250 0.377 0.499 1
Sc5 0.750 0.077 0.096 1
Sc6 0.250 0.923 0.904 1
```

***

No. 6
Entry from Alexandria: a geometry-optimized Li4MgIr structure (PBE-GGA).

Energy relative to the elements = -0.003 eV per atom
Electronic total energy = -3.02 eV per atom
Space-group type = F-43m, No. 216
M_tot = 0.00 μB per formula unit
N(E_F) = 0.35 states/eV/atom

Structure (CIF):
```
data_Li4MgIr
_space_group_name_H-M_alt 'P 1'
_space_group_IT_number 1
_cell_length_a 4.938
_cell_length_b 4.938
_cell_length_c 4.938
_cell_angle_alpha 60.00
_cell_angle_beta 60.00
_cell_angle_gamma 60.00
loop_
_space_group_symop_operation_xyz
'x,y,z'
loop_
_atom_site_label
_atom_site_fract_x
_atom_site_fract_y
_atom_site_fract_z
_atom_site_occupancy
Li1 0.883 0.372 0.372 1
Li2 0.372 0.372 0.883 1
Li3 0.372 0.883 0.372 1
Li4 0.372 0.372 0.372 1
Mg1 0.750 0.750 0.750 1
Ir1 0.000 0.000 0.000 1
```

***

No. 7
Entry from Alexandria: a geometry-optimized Dy2Cu2SnRh5 structure (PBE-GGA).

Energy relative to the elements = -0.546 eV per atom
Electronic total energy = -6.36 eV per atom
Space-group type = P4/mbm, No. 127
M_tot = 0.00 μB per formula unit
N(E_F) = 1.02 states/eV/atom

Structure (CIF):
```
data_Dy2Cu2SnRh5
_space_group_name_H-M_alt 'P 1'
_space_group_IT_number 1
_cell_length_a 3.840
_cell_length_b 9.371
_cell_length_c 9.371
_cell_angle_alpha 90.00
_cell_angle_beta 90.00
_cell_angle_gamma 90.00
loop_
_space_group_symop_operation_xyz
'x,y,z'
loop_
_atom_site_label
_atom_site_fract_x
_atom_site_fract_y
_atom_site_fract_z
_atom_site_occupancy
Dy1 0.000 0.674 0.174 1
Dy2 0.000 0.326 0.826 1
Dy3 0.000 0.174 0.326 1
Dy4 0.000 0.826 0.674 1
Cu1 0.000 0.122 0.622 1
Cu2 0.000 0.878 0.378 1
Cu3 0.000 0.622 0.878 1
Cu4 0.000 0.378 0.122 1
Sn1 0.000 0.000 0.000 1
Sn2 0.000 0.500 0.500 1
Rh1 0.500 0.208 0.070 1
Rh2 0.500 0.792 0.930 1
Rh3 0.500 0.070 0.792 1
Rh4 0.500 0.708 0.430 1
Rh5 0.500 0.930 0.208 1
Rh6 0.500 0.292 0.570 1
Rh7 0.500 0.570 0.708 1
Rh8 0.500 0.430 0.292 1
Rh9 0.500 0.500 0.000 1
Rh10 0.500 0.000 0.500 1
```

***

No. 8
Entry from Alexandria: a geometry-optimized Sr2ZnIn6Rh structure (PBE-GGA).

Energy relative to the elements = -0.159 eV per atom
Electronic total energy = -3.00 eV per atom
Space-group type = C2/m, No. 12
M_tot = 0.00 μB per formula unit
N(E_F) = 0.63 states/eV/atom

Structure (CIF):
```
data_Sr2ZnIn6Rh
_space_group_name_H-M_alt 'P 1'
_space_group_IT_number 1
_cell_length_a 7.412
_cell_length_b 7.411
_cell_length_c 7.361
_cell_angle_alpha 60.18
_cell_angle_beta 60.18
_cell_angle_gamma 89.89
loop_
_space_group_symop_operation_xyz
'x,y,z'
loop_
_atom_site_label
_atom_site_fract_x
_atom_site_fract_y
_atom_site_fract_z
_atom_site_occupancy
Sr1 0.250 0.750 0.500 1
Sr2 0.750 0.250 0.500 1
Zn1 0.500 0.500 0.000 1
In1 0.251 0.749 0.000 1
In2 0.750 0.750 0.999 1
In3 0.250 0.250 0.499 1
In4 0.749 0.251 0.000 1
In5 0.250 0.250 0.001 1
In6 0.750 0.750 0.501 1
Rh1 0.000 0.000 0.000 1
```

***

No. 9
Entry from Alexandria: a geometry-optimized PuScB12 structure (PBE-GGA).

Energy relative to the elements = -0.294 eV per atom
Electronic total energy = -7.49 eV per atom
Space-group type = P4/mmm, No. 123
M_tot = 5.21 μB per formula unit
N(E_F) = 0.52 states/eV/atom

Structure (CIF):
```
data_PuScB12
_space_group_name_H-M_alt 'P 1'
_space_group_IT_number 1
_cell_length_a 4.092
_cell_length_b 4.092
_cell_length_c 8.179
_cell_angle_alpha 90.00
_cell_angle_beta 90.00
_cell_angle_gamma 90.00
loop_
_space_group_symop_operation_xyz
'x,y,z'
loop_
_atom_site_label
_atom_site_fract_x
_atom_site_fract_y
_atom_site_fract_z
_atom_site_occupancy
Pu1 0.000 0.000 0.500 1
Sc1 0.000 0.000 0.000 1
B1 0.199 0.500 0.248 1
B2 0.199 0.500 0.752 1
B3 0.500 0.500 0.400 1
B4 0.500 0.500 0.901 1
B5 0.500 0.199 0.248 1
B6 0.500 0.199 0.752 1
B7 0.500 0.500 0.099 1
B8 0.500 0.500 0.600 1
B9 0.500 0.801 0.248 1
B10 0.500 0.801 0.752 1
B11 0.801 0.500 0.248 1
B12 0.801 0.500 0.752 1
```

***

No. 10
Entry from Alexandria: a geometry-optimized CeUMnC3 structure (PBE-GGA).

Energy relative to the elements = -0.052 eV per atom
Electronic total energy = -9.06 eV per atom
Space-group type = P2_1/m, No. 11
M_tot = 0.00 μB per formula unit
N(E_F) = 0.95 states/eV/atom

Structure (CIF):
```
data_CeUMnC3
_space_group_name_H-M_alt 'P 1'
_space_group_IT_number 1
_cell_length_a 3.516
_cell_length_b 7.155
_cell_length_c 7.384
_cell_angle_alpha 96.13
_cell_angle_beta 90.00
_cell_angle_gamma 90.00
loop_
_space_group_symop_operation_xyz
'x,y,z'
loop_
_atom_site_label
_atom_site_fract_x
_atom_site_fract_y
_atom_site_fract_z
_atom_site_occupancy
Ce1 0.750 0.847 0.818 1
Ce2 0.250 0.153 0.182 1
U1 0.250 0.639 0.179 1
U2 0.750 0.361 0.821 1
Mn1 0.250 0.094 0.586 1
Mn2 0.750 0.906 0.414 1
C1 0.250 0.843 0.476 1
C2 0.750 0.866 0.154 1
C3 0.750 0.417 0.127 1
C4 0.750 0.157 0.524 1
C5 0.250 0.583 0.873 1
C6 0.250 0.134 0.846 1
```

***

No. 11
Entry from Alexandria: a geometry-optimized Be2FeTcB structure (PBE-GGA).

Energy relative to the elements = -0.306 eV per atom
Electronic total energy = -6.90 eV per atom
Space-group type = Imm2, No. 44
M_tot = 1.77 μB per formula unit
N(E_F) = 0.47 states/eV/atom
Energy above the most stable polymorph in this dataset = 0 meV per atom

Structure (CIF):
```
data_Be2FeTcB
_space_group_name_H-M_alt 'P 1'
_space_group_IT_number 1
_cell_length_a 3.007
_cell_length_b 3.155
_cell_length_c 5.292
_cell_angle_alpha 107.34
_cell_angle_beta 106.51
_cell_angle_gamma 90.00
loop_
_space_group_symop_operation_xyz
'x,y,z'
loop_
_atom_site_label
_atom_site_fract_x
_atom_site_fract_y
_atom_site_fract_z
_atom_site_occupancy
Be1 0.711 0.211 0.421 1
Be2 0.039 0.039 0.078 1
Fe1 0.193 0.693 0.385 1
Tc1 0.429 0.429 0.858 1
B1 0.841 0.841 0.681 1
```

***

No. 12
Entry from Alexandria: a geometry-optimized Rb2RuI6Br structure (PBE-GGA).

Electronic total energy = -2.75 eV per atom
Space-group type = I4/mmm, No. 139
M_tot = 2.11 μB per formula unit
Formation energy (no corrections) = -0.53 eV/atom
N(E_F) = 1.42 states/eV/atom

Structure (CIF):
```
data_Rb2RuI6Br
_space_group_name_H-M_alt 'P 1'
_space_group_IT_number 1
_cell_length_a 8.829
_cell_length_b 8.829
_cell_length_c 8.467
_cell_angle_alpha 58.57
_cell_angle_beta 58.57
_cell_angle_gamma 90.00
loop_
_space_group_symop_operation_xyz
'x,y,z'
loop_
_atom_site_label
_atom_site_fract_x
_atom_site_fract_y
_atom_site_fract_z
_atom_site_occupancy
I1 0.246 0.246 0.508 1
I2 0.754 0.754 0.492 1
I3 0.216 0.216 0.000 1
I4 0.784 0.784 0.000 1
I5 0.784 0.216 0.000 1
I6 0.216 0.784 0.000 1
Ru1 0.000 0.000 0.000 1
Br1 0.500 0.500 0.000 1
Rb1 0.750 0.250 0.500 1
Rb2 0.250 0.750 0.500 1
```